[1]
A geometry-optimized LaScCo2 structure. Source: Alexandria via LeMat-Bulk, functional PBE.

Summary:
Total moment, μB/atom: 0.15
ΔE to the lowest computed polymorph, eV/atom: 0.070
SG: Fm-3m
D(E_F), states/eV/cell: 2.91
Total energy, eV per atom: -6.42

a b c (Å): 4.7030 4.7030 4.7030
angles (deg): 60.00 60.00 60.00
Last column: nearest neighbours and their distance in Å.
Element x y z (fractional)
La  0.0000  0.0000  0.0000  8 Co 2.88
Sc  0.5000  0.5000  0.5000  8 Co 2.88
Co  0.2500  0.2500  0.2500  4 La 2.88, 4 Sc 2.88
Co  0.7500  0.7500  0.7500  4 La 2.88, 4 Sc 2.88


[2]
A geometry-optimized SmHoGaPt structure. Source: Alexandria via LeMat-Bulk, functional PBE.

Summary:
Total moment, μB/atom: 0.00
ΔE to the lowest computed polymorph, eV/atom: 0.000
SG: Amm2
D(E_F), states/eV/cell: 3.74
Total energy, eV per atom: -5.50

a b c (Å): 4.3970 5.8790 5.8790
angles (deg): 38.10 90.00 90.00
Last column: nearest neighbours and their distance in Å.
Element x y z (fractional)
Sm  0.0000  0.0000  0.0000  4 Ga 3.03, 3 Pt 3.05-3.16
Ho  0.5000  0.2854  0.2854  4 Pt 2.99, 3 Ga 3.04-3.19
Ga  0.5000  0.5728  0.5728  2 Pt 2.78, 4 Sm 3.03, 2 Ho 3.04
Pt  0.0000  0.7258  0.7258  2 Ga 2.78, 4 Ho 2.99, 1 Sm 3.05


[3]
A geometry-optimized LaMgGa structure. Source: Alexandria via LeMat-Bulk, functional PBE.

Summary:
Total moment, μB/atom: 0.00
SG: Pnma
D(E_F), states/eV/cell: 2.65
Total energy, eV per atom: -3.60

a b c (Å): 6.4995 5.1873 9.1338
angles (deg): 90.00 90.00 90.00
Last column: nearest neighbours and their distance in Å.
Element x y z (fractional)
La  0.2312  0.2500  0.0818  5 Ga 3.03-3.30, 1 Mg 3.38
La  0.2688  0.7500  0.5818  5 Ga 3.03-3.30, 1 Mg 3.38
La  0.7312  0.2500  0.4182  5 Ga 3.03-3.30, 1 Mg 3.38
La  0.7688  0.7500  0.9182  5 Ga 3.03-3.30, 1 Mg 3.38
Mg  0.0052  0.2500  0.7328  5 Ga 3.24-3.55, 2 Mg 3.26, 6 La 3.38-3.51
Mg  0.4948  0.7500  0.2328  5 Ga 3.24-3.55, 2 Mg 3.26, 6 La 3.38-3.51
Mg  0.5052  0.2500  0.7672  5 Ga 3.24-3.55, 2 Mg 3.26, 6 La 3.38-3.51
Mg  0.9948  0.7500  0.2672  5 Ga 3.24-3.55, 2 Mg 3.26, 6 La 3.38-3.51
Ga  0.2231  0.2500  0.4136  5 La 3.03-3.30, 3 Mg 3.24-3.27
Ga  0.2769  0.7500  0.9136  5 La 3.03-3.30, 3 Mg 3.24-3.27
Ga  0.7231  0.2500  0.0864  5 La 3.03-3.30, 3 Mg 3.24-3.27
Ga  0.7769  0.7500  0.5864  5 La 3.03-3.30, 3 Mg 3.24-3.27


[4]
A geometry-optimized CsKSr2Pb structure. Source: Alexandria via LeMat-Bulk, functional PBE.

Summary:
Total moment, μB/atom: 0.00
SG: P4/mmm
D(E_F), states/eV/cell: 3.95
Total energy, eV per atom: -1.90

a b c (Å): 6.6347 6.6347 7.1685
angles (deg): 90.00 90.00 90.00
Last column: nearest neighbours and their distance in Å.
Element x y z (fractional)
Cs  0.0000  0.0000  0.0000  4 K 4.69, 8 Sr 4.88
K  0.5000  0.5000  0.0000  2 Pb 3.58
Sr  0.0000  0.5000  0.5000  2 Pb 3.32
Sr  0.5000  0.0000  0.5000  2 Pb 3.32
Pb  0.5000  0.5000  0.5000  4 Sr 3.32, 2 K 3.58


[5]
A geometry-optimized BaMg3In2 structure. Source: Alexandria via LeMat-Bulk, functional PBE.

Summary:
Total moment, μB/atom: 0.00
ΔE to the lowest computed polymorph, eV/atom: 0.027
SG: P6_3/mmc
D(E_F), states/eV/cell: 6.66
Total energy, eV per atom: -2.25

a b c (Å): 5.0092 5.0092 16.1518
angles (deg): 90.00 90.00 120.00
Last column: nearest neighbours and their distance in Å.
Element x y z (fractional)
Ba  0.0000  0.0000  0.2500  6 In 3.64, 8 Mg 3.97-4.04
Ba  0.0000  0.0000  0.7500  6 In 3.64, 8 Mg 3.97-4.04
Mg  0.0000  0.0000  0.0000  6 Mg 3.18, 6 In 3.42
Mg  0.0000  0.0000  0.5000  6 Mg 3.18, 6 In 3.42
Mg  0.3333  0.6667  0.0813  4 In 2.94-3.14, 3 Mg 3.18
Mg  0.3333  0.6667  0.4187  4 In 2.94-3.14, 3 Mg 3.18
Mg  0.6667  0.3333  0.5813  4 In 2.94-3.14, 3 Mg 3.18
Mg  0.6667  0.3333  0.9187  4 In 2.94-3.14, 3 Mg 3.18
In  0.3333  0.6667  0.6132  4 Mg 2.94-3.14
In  0.3333  0.6667  0.8868  4 Mg 2.94-3.14
In  0.6667  0.3333  0.1132  4 Mg 2.94-3.14
In  0.6667  0.3333  0.3868  4 Mg 2.94-3.14


[6]
A geometry-optimized PrScZn17 structure. Source: Alexandria via LeMat-Bulk, functional PBE.

Summary:
Total moment, μB/atom: 0.00
SG: R3m
D(E_F), states/eV/cell: 3.09
Total energy, eV per atom: -1.93

a b c (Å): 6.7881 6.7881 6.7881
angles (deg): 82.72 82.72 82.72
Last column: nearest neighbours and their distance in Å.
Element x y z (fractional)
Pr  0.0000  0.0000  0.0000  19 Zn 3.17-3.40
Sc  0.3320  0.3320  0.3320  13 Zn 2.99-3.27
Zn  0.0219  0.0219  0.4942  8 Zn 2.55-2.78
Zn  0.0219  0.4942  0.0219  8 Zn 2.55-2.78
Zn  0.1599  0.6696  0.6696  10 Zn 2.58-2.75
Zn  0.3148  0.3148  0.8168  9 Zn 2.55-2.79
Zn  0.3148  0.8168  0.3148  9 Zn 2.55-2.79
Zn  0.3693  0.6603  0.9641  8 Zn 2.58-2.78
Zn  0.3693  0.9641  0.6603  8 Zn 2.58-2.78
Zn  0.4942  0.0219  0.0219  8 Zn 2.55-2.78
Zn  0.5595  0.5595  0.5595  7 Zn 2.63-2.79
Zn  0.6603  0.3693  0.9641  8 Zn 2.58-2.78
Zn  0.6603  0.9641  0.3693  8 Zn 2.58-2.78
Zn  0.6696  0.1599  0.6696  10 Zn 2.58-2.75
Zn  0.6696  0.6696  0.1599  10 Zn 2.58-2.75
Zn  0.7591  0.7591  0.7591  4 Zn 2.63-2.72
Zn  0.8168  0.3148  0.3148  9 Zn 2.55-2.79
Zn  0.9641  0.3693  0.6603  8 Zn 2.58-2.78
Zn  0.9641  0.6603  0.3693  8 Zn 2.58-2.78